No. 1
Cs5GeS4: relaxed, GGA-PBE.

Results
* symmetry: Pmmn, No. 59
* DOS(E_F): 3.53 states/eV/f.u.
* total magnetic moment: 0.0000 μB/atom
* ΔE_f (raw): -0.887 eV/atom

abc: 9.7537 10.6992 8.2515
angles: 90.00 90.00 90.00
Closest atoms and distances in Å follow each position.
Fractional coordinates of all 20 atoms:
Cs: 0.0091 0.0584 0.2321  4 S 3.41-3.65
Cs: 0.0091 0.4416 0.2321  4 S 3.41-3.65
Cs: 0.2500 0.7500 0.3669  4 S 3.49-3.68
Cs: 0.4909 0.0584 0.2321  4 S 3.41-3.65
Cs: 0.4909 0.4416 0.2321  4 S 3.41-3.65
Cs: 0.5091 0.5584 0.7679  4 S 3.41-3.65
Cs: 0.5091 0.9416 0.7679  4 S 3.41-3.65
Cs: 0.7500 0.2500 0.6331  4 S 3.49-3.68
Cs: 0.9909 0.5584 0.7679  4 S 3.41-3.65
Cs: 0.9909 0.9416 0.7679  4 S 3.41-3.65
Ge: 0.2500 0.2500 0.7075  4 S 2.39-2.40
Ge: 0.7500 0.7500 0.2925  4 S 2.39-2.40
S: 0.0468 0.2500 0.8690  1 Ge 2.39
S: 0.2500 0.0659 0.5423  1 Ge 2.40
S: 0.2500 0.4341 0.5423  1 Ge 2.40
S: 0.4532 0.2500 0.8690  1 Ge 2.39
S: 0.5468 0.7500 0.1310  1 Ge 2.39
S: 0.7500 0.5659 0.4577  1 Ge 2.40
S: 0.7500 0.9341 0.4577  1 Ge 2.40
S: 0.9532 0.7500 0.1310  1 Ge 2.39

No. 2
CaRePb4: relaxed, GGA-PBE.

Results
* symmetry: F-43m, No. 216
* DOS(E_F): 5.73 states/eV/f.u.
* total magnetic moment: 0.5654 μB/atom
* energy: -0.2982 Ry per atom

abc: 6.3652 6.3652 6.3652
angles: 60.00 60.00 60.00
Closest atoms and distances in Å follow each position.
Fractional coordinates of all 6 atoms:
Ca: 0.0000 0.0000 0.0000  12 Pb 3.73, 4 Re 3.90
Re: 0.2500 0.2500 0.2500  12 Pb 3.73, 4 Ca 3.90
Pb: 0.1260 0.6247 0.6247  6 Pb 3.17-3.19
Pb: 0.6247 0.1260 0.6247  6 Pb 3.17-3.19
Pb: 0.6247 0.6247 0.1260  6 Pb 3.17-3.19
Pb: 0.6247 0.6247 0.6247  6 Pb 3.17-3.19

No. 3
Re3MoOs: relaxed, GGA-PBE.

Results
* symmetry: Pm-3m, No. 221
* DOS(E_F): 7.08 states/eV/f.u.
* relative energy among the computed polymorphs: 2215 meV/atom
* total magnetic moment: 0.0001 μB/atom

abc: 4.6449 4.6449 4.6449
angles: 90.00 90.00 90.00
Closest atoms and distances in Å follow each position.
Fractional coordinates of all 5 atoms:
Re: 0.0000 0.0000 0.5000  2 Os 2.32
Re: 0.0000 0.5000 0.0000  2 Os 2.32
Re: 0.5000 0.0000 0.0000  2 Os 2.32
Mo: 0.5000 0.5000 0.5000  12 Re 3.28
Os: 0.0000 0.0000 0.0000  6 Re 2.32

No. 4
KY2Mg: relaxed, GGA-PBE.

Results
* symmetry: F-43m, No. 216
* DOS(E_F): 6.30 states/eV/f.u.
* total magnetic moment: 0.0000 μB/atom
* energy: -0.2518 Ry per atom

abc: 5.7966 5.7966 5.7966
angles: 60.00 60.00 60.00
Closest atoms and distances in Å follow each position.
Fractional coordinates of all 4 atoms:
K: 0.0000 0.0000 0.0000  4 Y 3.55, 4 Mg 3.55
Y: 0.5000 0.5000 0.5000  4 Y 3.55, 4 Mg 3.55
Y: 0.7500 0.7500 0.7500  4 K 3.55, 4 Y 3.55
Mg: 0.2500 0.2500 0.2500  4 K 3.55, 4 Y 3.55

No. 5
SnPb2O4: relaxed, GGA-PBE.

Results
* symmetry: P4_2/mbc, No. 135
* DOS(E_F): 0.00 states/eV/f.u.
* total magnetic moment: 0.0000 μB/atom
* ΔE_f (raw): -1.382 eV/atom

abc: 8.9203 8.9203 6.4807
angles: 90.00 90.00 90.00
Closest atoms and distances in Å follow each position.
Fractional coordinates of all 28 atoms:
Sn: 0.0000 0.5000 0.2500  6 O 2.08-2.14
Sn: 0.0000 0.5000 0.7500  6 O 2.08-2.14
Sn: 0.5000 0.0000 0.2500  6 O 2.08-2.14
Sn: 0.5000 0.0000 0.7500  6 O 2.08-2.14
Pb: 0.1429 0.1636 0.0000  3 O 2.24-2.36
Pb: 0.1636 0.8571 0.5000  3 O 2.24-2.36
Pb: 0.3364 0.3571 0.5000  3 O 2.24-2.36
Pb: 0.3571 0.6636 0.0000  3 O 2.24-2.36
Pb: 0.6429 0.3364 0.0000  3 O 2.24-2.36
Pb: 0.6636 0.6429 0.5000  3 O 2.24-2.36
Pb: 0.8364 0.1429 0.5000  3 O 2.24-2.36
Pb: 0.8571 0.8364 0.0000  3 O 2.24-2.36
O: 0.0956 0.6236 0.0000  2 Sn 2.14, 1 Pb 2.36
O: 0.1236 0.5956 0.5000  2 Sn 2.14, 1 Pb 2.36
O: 0.1650 0.3350 0.2500  1 Sn 2.08, 2 Pb 2.24
O: 0.1650 0.3350 0.7500  1 Sn 2.08, 2 Pb 2.24
O: 0.3350 0.8350 0.2500  1 Sn 2.08, 2 Pb 2.24
O: 0.3350 0.8350 0.7500  1 Sn 2.08, 2 Pb 2.24
O: 0.3764 0.0956 0.5000  2 Sn 2.14, 1 Pb 2.36
O: 0.4044 0.1236 0.0000  2 Sn 2.14, 1 Pb 2.36
O: 0.5956 0.8764 0.0000  2 Sn 2.14, 1 Pb 2.36
O: 0.6236 0.9044 0.5000  2 Sn 2.14, 1 Pb 2.36
O: 0.6650 0.1650 0.2500  1 Sn 2.08, 2 Pb 2.24
O: 0.6650 0.1650 0.7500  1 Sn 2.08, 2 Pb 2.24
O: 0.8350 0.6650 0.2500  1 Sn 2.08, 2 Pb 2.24
O: 0.8350 0.6650 0.7500  1 Sn 2.08, 2 Pb 2.24
O: 0.8764 0.4044 0.5000  2 Sn 2.14, 1 Pb 2.36
O: 0.9044 0.3764 0.0000  2 Sn 2.14, 1 Pb 2.36

No. 6
RbMgTc2P: relaxed, GGA-PBE.

Results
* symmetry: P4/mmm, No. 123
* DOS(E_F): 6.13 states/eV/f.u.
* total magnetic moment: 0.4542 μB/atom
* energy: -0.2107 Ry per atom

abc: 4.7361 4.7361 5.1920
angles: 90.00 90.00 90.00
Closest atoms and distances in Å follow each position.
Fractional coordinates of all 5 atoms:
Rb: 0.0000 0.0000 0.0000  4 Tc 2.37, 2 Mg 2.60
Mg: 0.0000 0.0000 0.5000  2 Rb 2.60
Tc: 0.0000 0.5000 0.0000  2 Rb 2.37
Tc: 0.5000 0.0000 0.0000  2 Rb 2.37
P: 0.5000 0.5000 0.5000  4 Mg 3.35, 8 Tc 3.51

No. 7
V3W: relaxed, GGA-PBE.

Results
* symmetry: Immm, No. 71
* DOS(E_F): 5.44 states/eV/f.u.
* total magnetic moment: 0.0000 μB/atom
* energy: -0.7439 Ry per atom

abc: 5.0409 5.0409 5.0409
angles: 144.69 129.35 63.25
Closest atoms and distances in Å follow each position.
Fractional coordinates of all 4 atoms:
V: 0.0000 0.0000 0.0000  4 W 2.64, 4 V 2.64
V: 0.2513 0.7513 0.5000  2 W 2.63, 6 V 2.64
V: 0.7487 0.2487 0.5000  2 W 2.63, 6 V 2.64
W: 0.5000 0.5000 0.0000  8 V 2.63-2.64

No. 8
CsNaHoS2: relaxed, GGA-PBE.

Results
* symmetry: Cmme, No. 67
* DOS(E_F): 2.15 states/eV/f.u.
* total magnetic moment: 0.0614 μB/atom
* ΔE_f (raw): -1.211 eV/atom

abc: 8.7603 8.7603 6.5198
angles: 90.00 90.00 130.10
Closest atoms and distances in Å follow each position.
Fractional coordinates of all 10 atoms:
Cs: 0.2500 0.7500 0.7504  2 S 3.51
Cs: 0.7500 0.2500 0.2496  2 S 3.51
Na: 0.0000 0.0000 0.0000  2 S 2.80
Na: 0.5000 0.5000 0.0000  2 S 2.80
Ho: 0.2500 0.2500 0.5000  4 S 2.65
Ho: 0.7500 0.7500 0.5000  4 S 2.65
S: 0.1021 0.8979 0.3501  2 Ho 2.65, 1 Na 2.80
S: 0.3979 0.6021 0.3501  2 Ho 2.65, 1 Na 2.80
S: 0.6021 0.3979 0.6499  2 Ho 2.65, 1 Na 2.80
S: 0.8979 0.1021 0.6499  2 Ho 2.65, 1 Na 2.80